(1)
# PBE-GGA LiTb12Co6, relaxed
# total magnetic moment: 0.000 μB/cell
# total energy: -5.4247 eV/atom
data_LiTb12Co6
_chemical_formula_sum 'Li2 Tb24 Co12'
_space_group_name_H-M_alt 'I m -3'
_space_group_IT_number 204
_space_group_name_Hall '-I 2 2 3'
_cell_length_a 9.736
_cell_length_b 9.736
_cell_length_c 9.736
_cell_angle_alpha 90.00
_cell_angle_beta 90.00
_cell_angle_gamma 90.00
loop_
_atom_site_label
_atom_site_type_symbol
_atom_site_fract_x
_atom_site_fract_y
_atom_site_fract_z
Li1 Li 0.000 0.000 0.000
Tb1 Tb 0.000 0.196 0.306
Co1 Co 0.000 0.387 0.500

=====

(2)
# PBE-GGA LiTb4Co2, relaxed
# total magnetic moment: 0.000 μB/cell
# total energy: -4.9839 eV/atom
data_LiTb4Co2
_chemical_formula_sum 'Li2 Tb8 Co4'
_space_group_name_H-M_alt 'P 1'
_space_group_IT_number 1
_space_group_name_Hall 'P 1'
_cell_length_a 6.994
_cell_length_b 7.004
_cell_length_c 7.045
_cell_angle_alpha 72.17
_cell_angle_beta 89.54
_cell_angle_gamma 84.53
loop_
_atom_site_label
_atom_site_type_symbol
_atom_site_fract_x
_atom_site_fract_y
_atom_site_fract_z
Li1 Li 0.000 0.000 0.000
Li2 Li 0.090 0.171 0.296
Tb1 Tb 0.201 0.795 0.745
Tb2 Tb 0.247 0.333 0.597
Tb3 Tb 0.344 0.772 0.267
Tb4 Tb 0.416 0.358 0.083
Tb5 Tb 0.621 0.959 0.832
Tb6 Tb 0.729 0.353 0.462
Tb7 Tb 0.785 0.847 0.400
Tb8 Tb 0.860 0.458 0.902
Co1 Co 0.056 0.579 0.183
Co2 Co 0.448 0.048 0.473
Co3 Co 0.522 0.588 0.668
Co4 Co 0.707 0.649 0.134

=====

(3)
# PBE-GGA LiTb6Co2, relaxed
# total magnetic moment: 0.000 μB/cell
# total energy: -4.9877 eV/atom
data_LiTb6Co2
_chemical_formula_sum 'Li4 Tb24 Co8'
_space_group_name_H-M_alt 'I m m m'
_space_group_IT_number 71
_space_group_name_Hall '-I 2 2'
_cell_length_a 9.369
_cell_length_b 9.674
_cell_length_c 9.940
_cell_angle_alpha 90.00
_cell_angle_beta 90.00
_cell_angle_gamma 90.00
loop_
_atom_site_label
_atom_site_type_symbol
_atom_site_fract_x
_atom_site_fract_y
_atom_site_fract_z
Li1 Li 0.000 0.000 0.000
Li2 Li 0.000 0.000 0.500
Tb1 Tb 0.000 0.200 0.232
Tb2 Tb 0.184 0.500 0.179
Tb3 Tb 0.218 0.319 0.500
Co1 Co 0.000 0.332 0.000
Co2 Co 0.000 0.500 0.386

=====

(4)
# PBE-GGA LiTbCo4, relaxed
# total magnetic moment: 22.218 μB/cell
# total energy: -5.8908 eV/atom
data_LiTbCo4
_chemical_formula_sum 'Li4 Tb4 Co16'
_space_group_name_H-M_alt 'F -4 3 m'
_space_group_IT_number 216
_space_group_name_Hall 'F -4 2 3'
_cell_length_a 6.981
_cell_length_b 6.981
_cell_length_c 6.981
_cell_angle_alpha 90.00
_cell_angle_beta 90.00
_cell_angle_gamma 90.00
loop_
_atom_site_label
_atom_site_type_symbol
_atom_site_fract_x
_atom_site_fract_y
_atom_site_fract_z
Li1 Li 0.000 0.000 0.000
Tb1 Tb 0.250 0.250 0.250
Co1 Co 0.126 0.126 0.626

=====

(5)
# PBE-GGA LiTbTlCo, relaxed
# total magnetic moment: 4.278 μB/cell
# total energy: -4.0664 eV/atom
data_LiTbTlCo
_chemical_formula_sum 'Li4 Tb4 Tl4 Co4'
_space_group_name_H-M_alt 'F -4 3 m'
_space_group_IT_number 216
_space_group_name_Hall 'F -4 2 3'
_cell_length_a 6.671
_cell_length_b 6.671
_cell_length_c 6.671
_cell_angle_alpha 90.00
_cell_angle_beta 90.00
_cell_angle_gamma 90.00
loop_
_atom_site_label
_atom_site_type_symbol
_atom_site_fract_x
_atom_site_fract_y
_atom_site_fract_z
Li1 Li 0.000 0.000 0.000
Tb1 Tb 0.250 0.250 0.750
Tl1 Tl 0.250 0.250 0.250
Co1 Co 0.000 0.000 0.500

=====

(6)
# PBE-GGA Li2CoTc, relaxed
# ΔE to the lowest computed polymorph: 5 kJ/mol of formula units
# total magnetic moment: 0.622 μB/cell
# total energy: -5.1415 eV/atom
data_Li2CoTc
_chemical_formula_sum 'Li2 Co1 Tc1'
_space_group_name_H-M_alt 'P 4 m m'
_space_group_IT_number 99
_space_group_name_Hall 'P 4 -2'
_cell_length_a 2.732
_cell_length_b 2.732
_cell_length_c 7.445
_cell_angle_alpha 90.00
_cell_angle_beta 90.00
_cell_angle_gamma 90.00
loop_
_atom_site_label
_atom_site_type_symbol
_atom_site_fract_x
_atom_site_fract_y
_atom_site_fract_z
Li1 Li 0.000 0.000 0.000
Li2 Li 0.500 0.500 0.294
Co1 Co 0.500 0.500 0.774
Tc1 Tc 0.000 0.000 0.573

=====

(7)
# PBE-GGA LiCo2Tc, relaxed
# ΔE to the lowest computed polymorph: 46 kJ/mol of formula units
# total magnetic moment: 7.329 μB/cell
# total energy: -6.3258 eV/atom
data_LiCo2Tc
_chemical_formula_sum 'Li4 Co8 Tc4'
_space_group_name_H-M_alt 'F -4 3 m'
_space_group_IT_number 216
_space_group_name_Hall 'F -4 2 3'
_cell_length_a 5.690
_cell_length_b 5.690
_cell_length_c 5.690
_cell_angle_alpha 90.00
_cell_angle_beta 90.00
_cell_angle_gamma 90.00
loop_
_atom_site_label
_atom_site_type_symbol
_atom_site_fract_x
_atom_site_fract_y
_atom_site_fract_z
Li1 Li 0.000 0.000 0.000
Co1 Co 0.000 0.000 0.500
Co2 Co 0.250 0.250 0.750
Tc1 Tc 0.250 0.250 0.250

=====

(8)
# PBE-GGA LiCo2Tc, relaxed
# ΔE to the lowest computed polymorph: 20 kJ/mol of formula units
# total magnetic moment: 2.233 μB/cell
# total energy: -6.3923 eV/atom
data_LiCo2Tc
_chemical_formula_sum 'Li1 Co2 Tc1'
_space_group_name_H-M_alt 'P 4/m m m'
_space_group_IT_number 123
_space_group_name_Hall '-P 4 2'
_cell_length_a 4.283
_cell_length_b 4.283
_cell_length_c 2.645
_cell_angle_alpha 90.00
_cell_angle_beta 90.00
_cell_angle_gamma 90.00
loop_
_atom_site_label
_atom_site_type_symbol
_atom_site_fract_x
_atom_site_fract_y
_atom_site_fract_z
Li1 Li 0.000 0.000 0.000
Co1 Co 0.000 0.500 0.500
Tc1 Tc 0.500 0.500 0.000

=====

(9)
# PBE-GGA LiCo2Tc, relaxed
# ΔE to the lowest computed polymorph: 14 kJ/mol of formula units
# total magnetic moment: 7.367 μB/cell
# total energy: -6.4093 eV/atom
data_LiCo2Tc
_chemical_formula_sum 'Li3 Co6 Tc3'
_space_group_name_H-M_alt 'R -3 m'
_space_group_IT_number 166
_space_group_name_Hall '-R 3 2"'
_cell_length_a 2.6121
_cell_length_b 2.6121
_cell_length_c 25.6544
_cell_angle_alpha 90.00
_cell_angle_beta 90.00
_cell_angle_gamma 120.00
loop_
_atom_site_label
_atom_site_type_symbol
_atom_site_fract_x
_atom_site_fract_y
_atom_site_fract_z
Li1 Li 0.0000 0.0000 0.0000
Co1 Co 0.0000 0.0000 0.2478
Tc1 Tc 0.0000 0.0000 0.5000

=====

(10)
# PBE-GGA LiCo2Tc, relaxed
# ΔE to the lowest computed polymorph: 44 kJ/mol of formula units
# total magnetic moment: 2.219 μB/cell
# total energy: -6.3302 eV/atom
data_LiCo2Tc
_chemical_formula_sum 'Li2 Co4 Tc2'
_space_group_name_H-M_alt 'I m m m'
_space_group_IT_number 71
_space_group_name_Hall '-I 2 2'
_cell_length_a 2.741
_cell_length_b 4.139
_cell_length_c 8.010
_cell_angle_alpha 90.00
_cell_angle_beta 90.00
_cell_angle_gamma 90.00
loop_
_atom_site_label
_atom_site_type_symbol
_atom_site_fract_x
_atom_site_fract_y
_atom_site_fract_z
Li1 Li 0.000 0.000 0.000
Co1 Co 0.000 0.500 0.258
Tc1 Tc 0.000 0.000 0.500

=====

(11)
# PBE-GGA LiCoTc, relaxed
# ΔE to the lowest computed polymorph: 16 kJ/mol of formula units
# total magnetic moment: 0.000 μB/cell
# total energy: -6.2007 eV/atom
data_LiCoTc
_chemical_formula_sum 'Li2 Co2 Tc2'
_space_group_name_H-M_alt 'I m m 2'
_space_group_IT_number 44
_space_group_name_Hall 'I 2 -2'
_cell_length_a 2.558
_cell_length_b 3.753
_cell_length_c 7.520
_cell_angle_alpha 90.00
_cell_angle_beta 90.00
_cell_angle_gamma 90.00
loop_
_atom_site_label
_atom_site_type_symbol
_atom_site_fract_x
_atom_site_fract_y
_atom_site_fract_z
Li1 Li 0.000 0.000 0.000
Co1 Co 0.000 0.000 0.332
Tc1 Tc 0.000 0.000 0.677

=====

(12)
# PBE-GGA LiCo2Tc, relaxed
# ΔE to the lowest computed polymorph: 183 kJ/mol of formula units
# total magnetic moment: 0.006 μB/cell
# total energy: -5.9718 eV/atom
data_LiCo2Tc
_chemical_formula_sum 'Li4 Co8 Tc4'
_space_group_name_H-M_alt 'I -4 2 d'
_space_group_IT_number 122
_space_group_name_Hall 'I -4 2bw'
_cell_length_a 6.438
_cell_length_b 6.438
_cell_length_c 5.028
_cell_angle_alpha 90.00
_cell_angle_beta 90.00
_cell_angle_gamma 90.00
loop_
_atom_site_label
_atom_site_type_symbol
_atom_site_fract_x
_atom_site_fract_y
_atom_site_fract_z
Li1 Li 0.000 0.000 0.000
Co1 Co 0.230 0.250 0.625
Tc1 Tc 0.000 0.000 0.500